P | Entry from the Alexandria database: a geometry-optimized VSiPO2 structure (GGA+U).

Summary:
The total magnetic moment is 2.1 μB/f.u.

CIF file:
```
data_VSiPO2
_symmetry_space_group_name_H-M 'P 4/m m m'
_symmetry_Int_Tables_number 123
_symmetry_space_group_name_Hall '-P 4 2'
_cell_length_a 3.461
_cell_length_b 3.461
_cell_length_c 5.175
_cell_angle_alpha 90.00
_cell_angle_beta 90.00
_cell_angle_gamma 90.00
loop_
_atom_site_label
_atom_site_type_symbol
_atom_site_fract_x
_atom_site_fract_y
_atom_site_fract_z
V1 V 0.000 0.000 0.000
Si1 Si 0.500 0.500 0.500
P1 P 0.500 0.500 0.000
O1 O 0.000 0.500 0.500
```


Q | Entry from the Alexandria database: a geometry-optimized VSiPO2 structure (GGA+U).

Summary:
The total magnetic moment is 0.7 μB/f.u.

CIF file:
```
data_VSiPO2
_symmetry_space_group_name_H-M 'P 4/m m m'
_symmetry_Int_Tables_number 123
_symmetry_space_group_name_Hall '-P 4 2'
_cell_length_a 3.669
_cell_length_b 3.669
_cell_length_c 5.192
_cell_angle_alpha 90.00
_cell_angle_beta 90.00
_cell_angle_gamma 90.00
loop_
_atom_site_label
_atom_site_type_symbol
_atom_site_fract_x
_atom_site_fract_y
_atom_site_fract_z
V1 V 0.000 0.000 0.000
Si1 Si 0.500 0.500 0.500
P1 P 0.000 0.000 0.500
O1 O 0.000 0.500 0.000
```


Stability summary - winner: P; margin: 251 meV per atom.